# 1
Here is a geometry-optimized MgNi2Ru2 structure from Alexandria. Energies are from GGA-PBE.

Cell: 7.1793 7.1793 2.6962 Å, 90.00 90.00 90.00°
Positions (direct):
Mg (0.0000, 0.0000, 0.0000)
Mg (0.5000, 0.5000, 0.0000)
Ni (0.1189, 0.3811, 0.0000)
Ni (0.3811, 0.8811, 0.0000)
Ni (0.6189, 0.1189, 0.0000)
Ni (0.8811, 0.6189, 0.0000)
Ru (0.1766, 0.6766, 0.5000)
Ru (0.3234, 0.1766, 0.5000)
Ru (0.6766, 0.8234, 0.5000)
Ru (0.8234, 0.3234, 0.5000)

Values from the calculation:
- formation energy from the elements (eV per atom) = 0.190
- excess energy over the best structure of this formula in the dataset (meV/atom) = 0
- electronic total energy (eV/atom) = -6.152



# 2
Here is a geometry-optimized SmZnH6Ir2 structure from Alexandria. Energies are from GGA-PBE.

Cell: 5.9079 5.9079 5.9079 Å, 44.99 44.99 44.99°
Positions (direct):
Sm (0.0000, 0.0000, 0.0000)
Zn (0.5000, 0.5000, 0.5000)
H (0.0550, 0.5616, 0.5616)
H (0.4384, 0.4384, 0.9450)
H (0.4384, 0.9450, 0.4384)
H (0.5616, 0.0550, 0.5616)
H (0.5616, 0.5616, 0.0550)
H (0.9450, 0.4384, 0.4384)
Ir (0.2093, 0.2093, 0.2093)
Ir (0.7907, 0.7907, 0.7907)

Values from the calculation:
- electronic total energy (eV/atom) = -4.707



# 3
Here is a geometry-optimized Rb2ScBr6Cl structure from Alexandria. Energies are from GGA-PBE.

Cell: 8.2545 8.2545 8.2545 Å, 123.71 123.71 83.69°
Positions (direct):
Rb (0.2500, 0.7500, 0.5000)
Rb (0.7500, 0.2500, 0.5000)
Sc (0.0000, 0.0000, 0.0000)
Br (0.2133, 0.2133, 0.0000)
Br (0.2416, 0.2416, 0.4832)
Br (0.2416, 0.7584, 0.0000)
Br (0.7584, 0.2416, 0.0000)
Br (0.7584, 0.7584, 0.5168)
Br (0.7867, 0.7867, 0.0000)
Cl (0.5000, 0.5000, 0.0000)

Values from the calculation:
- electronic total energy (eV/atom) = -3.239
- uncorrected formation energy (meV/atom) = -1224



# 4
Here is a geometry-optimized SiTeIr2 structure from Alexandria. Energies are from GGA-PBE.

Cell: 2.9558 3.0193 7.5493 Å, 90.00 90.11 90.00°
Positions (direct):
Si (0.0000, 0.0000, 0.0000)
Te (0.5000, 0.0000, 0.5000)
Ir (0.4998, 0.5000, 0.1826)
Ir (0.5002, 0.5000, 0.8174)

Values from the calculation:
- excess energy over the best structure of this formula in the dataset (meV/atom) = 0
- electronic total energy (eV/atom) = -6.775
- uncorrected formation energy (meV/atom) = -204



# 5
Here is a geometry-optimized Ta2InAg structure from Alexandria. Energies are from GGA-PBE.

Cell: 2.9697 2.9697 29.8921 Å, 90.00 90.00 120.00°
Positions (direct):
Ta (0.0000, 0.0000, 0.2487)
Ta (0.0000, 0.0000, 0.7513)
Ta (0.3333, 0.6667, 0.4180)
Ta (0.3333, 0.6667, 0.9154)
Ta (0.6667, 0.3333, 0.0846)
Ta (0.6667, 0.3333, 0.5820)
In (0.0000, 0.0000, 0.0000)
In (0.3333, 0.6667, 0.6667)
In (0.6667, 0.3333, 0.3333)
Ag (0.0000, 0.0000, 0.5000)
Ag (0.3333, 0.6667, 0.1667)
Ag (0.6667, 0.3333, 0.8333)

Values from the calculation:
- formation energy from the elements (eV per atom) = 0.346
- electronic total energy (eV/atom) = -6.978



# 6
Here is a geometry-optimized SrBeSe3 structure from Alexandria. Energies are from GGA-PBE.

Cell: 5.9205 5.9205 5.9205 Å, 90.00 90.00 90.00°
Positions (direct):
Sr (0.0000, 0.0000, 0.0000)
Be (0.5000, 0.5000, 0.5000)
Se (0.0000, 0.0000, 0.5000)
Se (0.0000, 0.5000, 0.0000)
Se (0.5000, 0.0000, 0.0000)

Values from the calculation:
- excess energy over the best structure of this formula in the dataset (meV/atom) = 1391
- electronic total energy (eV/atom) = -2.473
- uncorrected formation energy (meV/atom) = 700



How do the records compare in theoretical density? In the order shown, they have 8.217, 10.730, 3.254, 13.312, 12.755, 2.669 Mg/m³.